Entry from OQMD via LeMat-Bulk: crystalline OsAuSO at its relaxed geometry (PBE).

Energy: -5.81 eV/atom
Mass density: 12.13 g/cm³
Volume: 14.896 A^3/atom

abc: 6.0002 7.3093 5.4345
angles: 90.00 90.00 90.00
Last column: nearest neighbours and their distance in Å.
Positions (direct):
1 Au 0.1923 0.1700 0.3842  1 O 2.27, 1 S 2.50
2 Au 0.6923 0.8300 0.3842  1 O 2.27, 1 S 2.50
3 Au 0.3077 0.1700 0.8842  1 O 2.27, 1 S 2.50
4 Au 0.8077 0.8300 0.8842  1 O 2.27, 1 S 2.50
5 O 0.7770 0.1219 0.2740  2 Os 2.00-2.13
6 O 0.2770 0.8781 0.2740  2 Os 2.00-2.13
7 O 0.7230 0.1219 0.7740  2 Os 2.00-2.13
8 O 0.2230 0.8781 0.7740  2 Os 2.00-2.13
9 Os 0.6297 0.3075 0.4895  2 O 2.00-2.13
10 Os 0.1297 0.6925 0.4895  2 O 2.00-2.13
11 Os 0.8703 0.3075 0.9895  2 O 2.00-2.13
12 Os 0.3703 0.6925 0.9895  2 O 2.00-2.13
13 S 0.5229 0.4134 0.1023  3 Os 2.31-2.33, 1 Au 2.50
14 S 0.0229 0.5866 0.1023  3 Os 2.31-2.33, 1 Au 2.50
15 S 0.9771 0.4134 0.6023  3 Os 2.31-2.33, 1 Au 2.50
16 S 0.4771 0.5866 0.6023  3 Os 2.31-2.33, 1 Au 2.50

Entry from OQMD via LeMat-Bulk: crystalline Li2HfS3 at its relaxed geometry (PBE).

Energy: -5.86 eV/atom
Mass density: 4.60 g/cm³
Volume: 17.377 A^3/atom

abc: 6.3512 6.3512 6.3231
angles: 100.35 100.35 119.05
Last column: nearest neighbours and their distance in Å.
Positions (direct):
1 Hf 0.5852 0.4148 0.2500  6 S 2.53-2.56
2 Hf 0.4148 0.5852 0.7500  6 S 2.53-2.56
3 Li 0.9145 0.0855 0.2500  6 S 2.56-2.72
4 Li 0.2536 0.7464 0.2500  6 S 2.58-2.65
5 Li 0.7464 0.2536 0.7500  6 S 2.58-2.65
6 Li 0.0855 0.9145 0.7500  6 S 2.56-2.72
7 S 0.5000 0.0000 0.0000  4 Li 2.56-2.63, 2 Hf 2.56
8 S 0.8170 0.6607 0.0074  2 Hf 2.53-2.54, 4 Li 2.56-2.72
9 S 0.3393 0.1830 0.4926  2 Hf 2.53-2.54, 4 Li 2.56-2.72
10 S 0.0000 0.5000 0.5000  4 Li 2.56-2.63, 2 Hf 2.56
11 S 0.6607 0.8170 0.5074  2 Hf 2.53-2.54, 4 Li 2.56-2.72
12 S 0.1830 0.3393 0.9926  2 Hf 2.53-2.54, 4 Li 2.56-2.72

Entry from OQMD via LeMat-Bulk: crystalline HoUAl at its relaxed geometry (PBE).

Energy: -5.94 eV/atom
Mass density: 8.19 g/cm³
Volume: 29.057 A^3/atom

abc: 4.9769 4.9769 4.9769
angles: 60.00 60.00 60.00
Last column: nearest neighbours and their distance in Å.
Positions (direct):
1 Al 0.0000 0.0000 0.0000  4 U 3.05, 4 Ho 3.05
2 Ho 0.2500 0.2500 0.2500  4 Al 3.05
3 U 0.7500 0.7500 0.7500  4 Al 3.05

Entry from OQMD via LeMat-Bulk: crystalline Tb3In3PdPt2 at its relaxed geometry (PBE).

Energy: -5.34 eV/atom
Mass density: 10.99 g/cm³
Volume: 22.121 A^3/atom

abc: 7.7320 7.7320 3.8454
angles: 90.00 90.00 120.00
Last column: nearest neighbours and their distance in Å.
Positions (direct):
1 In 0.2585 0.0000 0.5000  2 Pd 2.77, 2 Pt 2.91
2 In 0.0000 0.2585 0.5000  2 Pd 2.77, 2 Pt 2.91
3 In 0.7415 0.7415 0.5000  2 Pd 2.77, 2 Pt 2.91
4 Pd 0.0000 0.0000 0.0000  6 In 2.77
5 Pt 0.6667 0.3333 0.5000  3 In 2.91, 6 Tb 3.03
6 Pt 0.3333 0.6667 0.5000  3 In 2.91, 6 Tb 3.03
7 Tb 0.5891 0.0000 0.0000  4 Pt 3.03, 1 Pd 3.18, 6 In 3.20-3.38
8 Tb 0.4109 0.4109 0.0000  4 Pt 3.03, 1 Pd 3.18, 6 In 3.20-3.38
9 Tb 0.0000 0.5891 0.0000  4 Pt 3.03, 1 Pd 3.18, 6 In 3.20-3.38

Entry from OQMD via LeMat-Bulk: crystalline Sb3Pd2 at its relaxed geometry (PBE).

Energy: -4.75 eV/atom
Mass density: 8.32 g/cm³
Volume: 23.090 A^3/atom

abc: 5.9486 5.9486 3.7690
angles: 90.11 90.11 59.96
Last column: nearest neighbours and their distance in Å.
Positions (direct):
1 Pd 0.3330 0.3332 0.0000  6 Sb 2.78-2.79
2 Pd 0.6668 0.6670 0.0000  6 Sb 2.78-2.79
3 Sb 0.6880 0.0002 0.4996  4 Pd 2.78-2.79
4 Sb 0.3123 0.6877 0.5000  4 Pd 2.78-2.79
5 Sb 0.9998 0.3120 0.5004  4 Pd 2.78-2.79

Entry from OQMD via LeMat-Bulk: crystalline TbSbPb2O6 at its relaxed geometry (PBE).

Energy: -6.46 eV/atom
Mass density: 9.10 g/cm³
Volume: 14.433 A^3/atom

abc: 5.8812 5.8812 10.2003
angles: 105.95 105.95 59.60
Last column: nearest neighbours and their distance in Å.
Positions (direct):
1 O 0.8915 0.3012 0.0808  1 Sb 2.01
2 O 0.3590 0.3267 0.1161  1 Sb 2.00, 1 Tb 2.22
3 O 0.8822 0.8127 0.1524  1 Sb 2.00
4 O 0.1873 0.1178 0.3476  1 Sb 2.00
5 O 0.6733 0.6410 0.3839  1 Sb 2.00, 1 Tb 2.22
6 O 0.6988 0.1085 0.4192  1 Sb 2.01
7 O 0.3012 0.8915 0.5808  1 Sb 2.01
8 O 0.3267 0.3590 0.6161  1 Sb 2.00, 1 Tb 2.22
9 O 0.8127 0.8822 0.6524  1 Sb 2.00
10 O 0.1178 0.1873 0.8476  1 Sb 2.00
11 O 0.6410 0.6733 0.8839  1 Sb 2.00, 1 Tb 2.22
12 O 0.1085 0.6988 0.9192  1 Sb 2.01
13 Pb 0.3568 0.9068 0.1258  4 O 2.47-2.60
14 Pb 0.0932 0.6432 0.3742  4 O 2.47-2.60
15 Pb 0.9068 0.3568 0.6258  4 O 2.47-2.60
16 Pb 0.6432 0.0932 0.8742  4 O 2.47-2.60
17 Sb 0.0000 0.5000 0.0000  6 O 2.00-2.01
18 Sb 0.5000 0.0000 0.5000  6 O 2.00-2.01
19 Tb 0.7502 0.2498 0.2500  6 O 2.22-2.28
20 Tb 0.2498 0.7502 0.7500  6 O 2.22-2.28

Entry from OQMD via LeMat-Bulk: crystalline HfMgFePb at its relaxed geometry (PBE).

Energy: -5.65 eV/atom
Mass density: 10.90 g/cm³
Volume: 17.742 A^3/atom

abc: 4.6472 4.6472 4.6472
angles: 60.00 60.00 60.00
Last column: nearest neighbours and their distance in Å.
Positions (direct):
1 Fe 0.7500 0.7500 0.7500  4 Hf 2.85, 4 Pb 2.85
2 Hf 0.5000 0.5000 0.5000  4 Fe 2.85, 4 Mg 2.85
3 Mg 0.2500 0.2500 0.2500  4 Hf 2.85, 4 Pb 2.85
4 Pb 0.0000 0.0000 0.0000  4 Fe 2.85, 4 Mg 2.85

Entry from OQMD via LeMat-Bulk: crystalline ZrPt3 at its relaxed geometry (PBE).

Energy: -7.70 eV/atom
Mass density: 17.00 g/cm³
DFT formation energy: -1.019 eV per atom
Volume: 16.518 A^3/atom

abc: 5.7154 5.7154 5.7176
angles: 119.98 119.98 90.02
Last column: nearest neighbours and their distance in Å.
Positions (direct):
1 Pt 0.2500 0.2500 0.0000  8 Pt 2.86, 4 Zr 2.86
2 Pt 0.7499 0.2501 0.0000  8 Pt 2.86, 4 Zr 2.86
3 Pt 0.2501 0.7499 0.0000  8 Pt 2.86, 4 Zr 2.86
4 Pt 0.7500 0.7500 0.0000  8 Pt 2.86, 4 Zr 2.86
5 Pt 0.7501 0.2499 0.5000  4 Zr 2.86, 8 Pt 2.86
6 Pt 0.2499 0.7501 0.5000  4 Zr 2.86, 8 Pt 2.86
7 Zr 0.2500 0.2500 0.4999  12 Pt 2.86
8 Zr 0.7500 0.7500 0.5001  12 Pt 2.86

Entry from OQMD via LeMat-Bulk: crystalline NpPa at its relaxed geometry (PBE).

Energy: -9.90 eV/atom
Mass density: 15.33 g/cm³
DFT formation energy: 1.237 eV per atom
Volume: 25.342 A^3/atom

abc: 4.1540 4.1540 4.1540
angles: 60.00 60.00 60.00
Last column: nearest neighbours and their distance in Å.
Positions (direct):
1 Np 0.0000 0.0000 0.0000  4 Pa 2.54
2 Pa 0.2500 0.2500 0.2500  4 Np 2.54

Entry from OQMD via LeMat-Bulk: crystalline Nd2TmBi3 at its relaxed geometry (PBE).

Energy: -5.26 eV/atom
Mass density: 9.15 g/cm³
Volume: 32.807 A^3/atom

abc: 4.5290 4.5290 11.0810
angles: 90.00 90.00 120.00
Last column: nearest neighbours and their distance in Å.
Positions (direct):
1 Bi 0.0000 0.0000 0.0000  6 Nd 3.22
2 Bi 0.3333 0.6667 0.3427  3 Tm 3.14, 3 Nd 3.24
3 Bi 0.6667 0.3333 0.6573  3 Tm 3.14, 3 Nd 3.24
4 Nd 0.6667 0.3333 0.1702  6 Bi 3.22-3.24
5 Nd 0.3333 0.6667 0.8298  6 Bi 3.22-3.24
6 Tm 0.0000 0.0000 0.5000  6 Bi 3.14

Entry from OQMD via LeMat-Bulk: crystalline NaLuAlAu at its relaxed geometry (PBE).

Energy: -3.47 eV/atom
Mass density: 8.19 g/cm³
Volume: 21.387 A^3/atom

abc: 4.9458 4.9458 4.9458
angles: 60.00 60.00 60.00
Last column: nearest neighbours and their distance in Å.
Positions (direct):
1 Al 0.2500 0.2500 0.2500  4 Na 3.03, 4 Lu 3.03
2 Au 0.7500 0.7500 0.7500  4 Na 3.03, 4 Lu 3.03
3 Lu 0.0000 0.0000 0.0000  4 Al 3.03, 4 Au 3.03
4 Na 0.5000 0.5000 0.5000  4 Al 3.03, 4 Au 3.03

Entry from OQMD via LeMat-Bulk: crystalline ZrGe2S at its relaxed geometry (PBE).

Energy: -5.87 eV/atom
Mass density: 5.37 g/cm³
Volume: 20.772 A^3/atom

abc: 4.7407 3.8308 9.3734
angles: 90.00 102.52 90.00
Last column: nearest neighbours and their distance in Å.
Positions (direct):
1 Ge 0.6740 0.2500 0.0492  1 S 2.31, 2 Ge 2.57
2 Ge 0.6941 0.2500 0.4997  2 Ge 2.66, 2 Zr 2.88
3 Ge 0.3059 0.7500 0.5003  2 Ge 2.66, 2 Zr 2.88
4 Ge 0.3260 0.7500 0.9508  1 S 2.31, 2 Ge 2.57
5 S 0.1948 0.7500 0.1747  1 Ge 2.31, 2 Zr 2.54-2.55
6 S 0.8052 0.2500 0.8253  1 Ge 2.31, 2 Zr 2.54-2.55
7 Zr 0.7396 0.7500 0.2768  2 S 2.54-2.55, 2 Ge 2.83
8 Zr 0.2604 0.2500 0.7232  2 S 2.54-2.55, 2 Ge 2.83

> Among the records above, which one has the lowest energy?

NpPa

Copy entry 2 word for word.
Entry from OQMD via LeMat-Bulk: crystalline Li2HfS3 at its relaxed geometry (PBE).

Energy: -5.86 eV/atom
Mass density: 4.60 g/cm³
Volume: 17.377 A^3/atom

abc: 6.3512 6.3512 6.3231
angles: 100.35 100.35 119.05
Last column: nearest neighbours and their distance in Å.
Positions (direct):
1 Hf 0.5852 0.4148 0.2500  6 S 2.53-2.56
2 Hf 0.4148 0.5852 0.7500  6 S 2.53-2.56
3 Li 0.9145 0.0855 0.2500  6 S 2.56-2.72
4 Li 0.2536 0.7464 0.2500  6 S 2.58-2.65
5 Li 0.7464 0.2536 0.7500  6 S 2.58-2.65
6 Li 0.0855 0.9145 0.7500  6 S 2.56-2.72
7 S 0.5000 0.0000 0.0000  4 Li 2.56-2.63, 2 Hf 2.56
8 S 0.8170 0.6607 0.0074  2 Hf 2.53-2.54, 4 Li 2.56-2.72
9 S 0.3393 0.1830 0.4926  2 Hf 2.53-2.54, 4 Li 2.56-2.72
10 S 0.0000 0.5000 0.5000  4 Li 2.56-2.63, 2 Hf 2.56
11 S 0.6607 0.8170 0.5074  2 Hf 2.53-2.54, 4 Li 2.56-2.72
12 S 0.1830 0.3393 0.9926  2 Hf 2.53-2.54, 4 Li 2.56-2.72

> volume of number 8 (ZrPt3)?

16.518 A^3/atom